Entry 1:
First-principles (PBE) data for a relaxed structure of KDy2IrO8, as listed in Alexandria.

Cell lengths 4.0981, 5.2922, 7.1760 Å; angles 89.60, 75.01, 89.33 degrees
With the nearest neighbours (Å) after each atom.
Sites, in units of the cell vectors:
K1 0.0000 0.0000 0.0000  10 O 2.72-2.84
Dy1 0.3805 0.5149 0.2871  7 O 2.32-2.44
Dy2 0.6195 0.4851 0.7129  7 O 2.32-2.44
Ir1 0.0000 0.0000 0.5000  6 O 1.87-2.01
O1 0.1793 0.4946 0.0030  1 O 1.48
O2 0.1871 0.3171 0.5848  1 Ir 2.01
O3 0.2019 0.7788 0.6422  1 Ir 1.87
O4 0.3590 0.9516 0.2694  1 Ir 1.93
O5 0.6410 0.0484 0.7306  1 Ir 1.93
O6 0.7981 0.2212 0.3578  1 Ir 1.87
O7 0.8129 0.6829 0.4152  1 Ir 2.01
O8 0.8207 0.5054 0.9970  1 O 1.48

## Properties
- symmetry = P-1 (2)
- E_tot (eV per atom) = -6.717
- Fermi-level density of states (states/eV per atom) = 0.41



Entry 2:
First-principles (PBE) data for a relaxed structure of K3Dy3IrO8, as listed in Alexandria.

Cell lengths 7.3904, 7.3904, 7.3904 Å; angles 54.52, 54.52, 54.52 degrees
With the nearest neighbours (Å) after each atom.
Sites, in units of the cell vectors:
K1 0.0000 0.5000 0.5000  6 O 2.78-2.79
K2 0.5000 0.0000 0.5000  6 O 2.78-2.79
K3 0.5000 0.5000 0.0000  6 O 2.78-2.79
Dy1 0.0000 0.0000 0.5000  6 O 2.27-2.31
Dy2 0.0000 0.5000 0.0000  6 O 2.27-2.31
Dy3 0.5000 0.0000 0.0000  6 O 2.27-2.31
Ir1 0.5000 0.5000 0.5000  6 O 2.11
O1 0.2277 0.2277 0.2277  3 Dy 2.27
O2 0.2504 0.7121 0.7121  1 Ir 2.11, 2 Dy 2.31
O3 0.2879 0.2879 0.7496  1 Ir 2.11, 2 Dy 2.31
O4 0.2879 0.7496 0.2879  1 Ir 2.11, 2 Dy 2.31
O5 0.7121 0.2504 0.7121  1 Ir 2.11, 2 Dy 2.31
O6 0.7121 0.7121 0.2504  1 Ir 2.11, 2 Dy 2.31
O7 0.7496 0.2879 0.2879  1 Ir 2.11, 2 Dy 2.31
O8 0.7723 0.7723 0.7723  3 Dy 2.27

## Properties
- symmetry = R-3m (166)
- E_tot (eV per atom) = -6.711
- Fermi-level density of states (states/eV per atom) = 0.47



For the records above, the corresponding raw formation energy values read -1.814; -2.336 eV per atom.